Entry from Alexandria: Cr2NiHRu after structural relaxation (PBE).

Values from the calculation:
The value obtained for the offset from the most stable computed form is 34 meV per atom. As for the crystal system: tetragonal. The magnetic moment is 0.716 μB per formula unit.

Lattice parameters (Å, degrees): 3.679 3.679 3.740 90.00 90.00 90.00
Site moments in Bohr magnetons follow the coordinates.
Fractional positions:
Ru (0.000, 0.000, 0.500)  -0.05
Cr (0.000, 0.500, 0.000)  0.38
Cr (0.500, 0.000, 0.000)  0.38
H (0.000, 0.000, 0.000)  0.00
Ni (0.500, 0.500, 0.500)  -0.03